[1]
This record from Alexandria via LeMat-Bulk describes a relaxed structure of CeY14Er. The functional is PBE.

The space group is P4/mmm (No. 123) and the conventional cell measures 7.1449, 7.1449 and 10.0891 Å, with angles of 90.00, 90.00 and 90.00 degrees. The asymmetric unit holds Ce at (0.0000, 0.0000, 0.0000), Y at (0.0000, 0.0000, 0.5000), Y at (0.0000, 0.5000, 0.0000), Y at (0.0000, 0.5000, 0.5000), Y at (0.2494, 0.2494, 0.2484), Y at (0.5000, 0.5000, 0.5000) and Er at (0.5000, 0.5000, 0.0000).

=====

[2]
This record from Alexandria via LeMat-Bulk describes a relaxed structure of Ce2YEr. The functional is PBE.

As for the energy above the lowest structure with this stoichiometry: 0 meV per atom.

The space group is R3m (No. 160, hexagonal axes) and the conventional cell measures 3.4881, 3.4881 and 34.5496 Å, with angles of 90.00, 90.00 and 120.00 degrees. The asymmetric unit holds Ce at (0.0000, 0.0000, 0.0000), Ce at (0.0000, 0.0000, 0.1642), Y at (0.0000, 0.0000, 0.5836) and Er at (0.0000, 0.0000, 0.4144).

=====

[3]
This record from Alexandria via LeMat-Bulk describes a relaxed structure of Ce2YEr. The functional is PBE.

As for the energy above the lowest structure with this stoichiometry: 76 meV per atom.

The space group is P-1 (No. 2) and the conventional cell measures 6.3937, 6.4771 and 6.5675 Å, with angles of 60.47, 88.73 and 87.75 degrees. The asymmetric unit holds Ce at (0.2132, 0.4865, 0.4656), Ce at (0.2865, 0.0518, 0.4664), Y at (0.0000, 0.0000, 0.0000), Y at (0.5000, 0.0000, 0.0000) and Er at (0.2503, 0.5368, 0.9251).

=====

[4]
This record from Alexandria via LeMat-Bulk describes a relaxed structure of CeY12Er2. The functional is PBE.

The space group is P4/nbm (No. 125, origin choice 2) and the conventional cell measures 6.4215, 6.4215 and 25.2310 Å, with angles of 90.00, 90.00 and 90.00 degrees. The asymmetric unit holds Ce at (0.2500, 0.7500, 0.0000), Y at (0.0678, 0.5678, 0.1161), Y at (0.0813, 0.5813, 0.5610), Y at (0.2500, 0.2500, 0.2163), Y at (0.2500, 0.2500, 0.3393) and Er at (0.2500, 0.7500, 0.2762).

=====

[5]
This record from Alexandria via LeMat-Bulk describes a relaxed structure of CeY4Er7. The functional is PBE.

As for the energy above the lowest structure with this stoichiometry: 189 meV per atom.

The space group is C2/m (No. 12) and the conventional cell measures 11.9162, 5.7827 and 12.6739 Å, with angles of 90.00, 117.60 and 90.00 degrees. The asymmetric unit holds Ce at (0.0000, 0.0000, 0.0000), Y at (0.1307, 0.5000, 0.7753), Y at (0.2479, 0.5000, 0.3130), Er at (0.0000, 0.5000, 0.0000), Er at (0.0603, 0.0000, 0.3283), Er at (0.1353, 0.5000, 0.5030) and Er at (0.2058, 0.0000, 0.9242).

=====

[6]
This record from Alexandria via LeMat-Bulk describes a relaxed structure of CeY2Er4. The functional is PBE.

The space group is Cmmm (No. 65) and the conventional cell measures 6.1051, 12.8469 and 5.8642 Å, with angles of 90.00, 90.00 and 90.00 degrees. The asymmetric unit holds Ce at (0.0000, 0.0000, 0.0000), Y at (0.0000, 0.3903, 0.5000), Er at (0.0000, 0.1392, 0.5000) and Er at (0.0000, 0.2967, 0.0000).

=====

[7]
This record from Alexandria via LeMat-Bulk describes a relaxed structure of CeYEr3. The functional is PBE.

As for the energy above the lowest structure with this stoichiometry: 0 meV per atom.

The space group is C2/m (No. 12) and the conventional cell measures 16.6077, 5.3725 and 6.9936 Å, with angles of 90.00, 90.11 and 90.00 degrees. The asymmetric unit holds Ce at (0.1998, 0.0000, 0.2477), Y at (0.1075, 0.5000, 0.5003), Er at (0.0018, 0.0000, 0.7511), Er at (0.1069, 0.5000, 0.9989) and Er at (0.2009, 0.0000, 0.7512).

=====

[8]
This record from Alexandria via LeMat-Bulk describes a relaxed structure of CeY2Er3. The functional is PBE.

As for the energy above the lowest structure with this stoichiometry: 0 meV per atom.

The space group is Imma (No. 74) and the conventional cell measures 5.7748, 13.7476 and 9.5091 Å, with angles of 90.00, 90.00 and 90.00 degrees. The asymmetric unit holds Ce at (0.2500, 0.2500, 0.2500), Y at (0.0000, 0.1178, 0.5304), Er at (0.0000, 0.0165, 0.1664) and Er at (0.0000, 0.2500, 0.8606).

=====

Formation enthalpy at 0 K in eV/f.u., matching the order above: 0.5; 0.4; 0.7; 5.4; 3.4; 3.9; 0.5; 0.7
Total magnetic moment in μB per cell, matching the order above: 0.96; 4.71; 0.00; 2.87; 0.00; 5.28; 4.71; 3.55